Material: Ac6AsPt2Br2
Method: DFT, PBE
State: relaxed

```
Ac6AsPt2Br2
1.0
7.8043 0.0939 0.1548
-3.7757 6.8308 0.1548
-1.3659 -2.3479 7.3533
Ac As Pt Br
6 1 2 2
Direct
0.7123 0.7123 0.7202
0.0765 0.4137 0.7174
0.2877 0.2877 0.2798
0.4137 0.0765 0.7174
0.9235 0.5863 0.2826
0.5863 0.9235 0.2826
0.0000 0.0000 0.5000
0.3307 0.6693 0.5000
0.6693 0.3307 0.5000
0.8434 0.1566 0.0000
0.1566 0.8434 0.0000
```

Results
**ρ**: 8.24 g cm⁻³
**M_tot**: 0.00 μB/f.u.
**Calculated total energy**: -5.23 eV per atom

=====

Material: Hf2TiGaHg
Method: DFT, PBE
State: relaxed

```
Hf2TiGaHg
1.0
4.8757 0.0000 0.0000
0.0000 5.2179 0.0000
0.0000 0.0000 4.8757
Hf Hg Ga Ti
2 1 1 1
Direct
0.0000 0.0000 0.5000
0.5000 0.0000 0.0000
0.0000 0.5000 0.0000
0.5000 0.5000 0.5000
0.0000 0.0000 0.0000
```

Results
**ρ**: 9.04 g cm⁻³
**M_tot**: 0.00 μB/f.u.
**ΔE_f**: 870 meV/atom

=====

Number 2 is which compound? Hf2TiGaHg